## Ac2MnO3F3 (PBE with a Hubbard U)

Data for crystalline Ac2MnO3F3 at its relaxed geometry.

## Properties
- ρ (Mg/m³) = 7.74
- magnetic moment (Bohr magnetons per cell) = 4.00
- D(E_F) (states/eV/atom) = 0.573
- crystal system = hexagonal
- V (A^3/atom) = 14.6
- raw total energy (eV/atom) = -6.829

CIF file:
```
data_Ac2MnO3F3
_chemical_formula_sum 'Ac2 Mn1 O3 F3'
_cell_length_a 6.3774
_cell_length_b 6.3774
_cell_length_c 3.7384
_cell_angle_alpha 90.00
_cell_angle_beta 90.00
_cell_angle_gamma 120.00
_symmetry_space_group_name_H-M 'P -6 2 m'
_symmetry_Int_Tables_number 189
_symmetry_space_group_name_Hall 'P -6 -2'
loop_
_atom_site_label
_atom_site_fract_x
_atom_site_fract_y
_atom_site_fract_z
_atom_site_occupancy
Ac1 0.3333 0.6667 0.0000 1
Mn1 0.0000 0.0000 0.5000 1
O1 0.0000 0.7516 0.0000 1
F1 0.0000 0.4204 0.5000 1
```